A PBEsol-optimized structure of SmGa5Co. Source: the Alexandria database, functional meta-GGA SCAN.

total DFT energy (no corrections): -146.9 eV per formula unit
size of the total moment: 0.00 μB/f.u.

abc: 4.1802 4.1802 6.7989
angles: 90.00 90.00 90.00
Space group P4/mmm (No. 123)
Unique sites:
1 Sm 0.0000 0.0000 0.0000
2 Ga 0.0000 0.5000 0.3132
3 Ga 0.5000 0.5000 0.0000
4 Co 0.0000 0.0000 0.5000